No. 1
A geometry-optimized Mn2SnRu2 structure. Source: Alexandria, functional PBE-GGA.

Results
DFT formation energy: 0.213 eV per atom
Mass density: 9288 kg/m3
Fermi-level density of states: 1.43 states/eV per atom

a = 7.2309 Å, b = 7.2309 Å, c = 2.9457 Å
α = 90.00°, β = 90.00°, γ = 90.00°
Space group P4/mbm (No. 127)
Unique sites:
1 Mn 0.1594 0.3406 0.0000
2 Sn 0.0000 0.0000 0.5000
3 Ru 0.1323 0.6323 0.5000

=====

No. 2
A geometry-optimized MnSn2Ru structure. Source: Alexandria, functional PBE-GGA.

Results
DFT formation energy: 0.190 eV per atom
Mass density: 9891 kg/m3
Fermi-level density of states: 1.71 states/eV per atom

a = 6.4166 Å, b = 6.4166 Å, c = 6.4166 Å
α = 90.00°, β = 90.00°, γ = 90.00°
Space group Fm-3m (No. 225)
Unique sites:
1 Mn 0.0000 0.0000 0.0000
2 Sn 0.2500 0.2500 0.2500
3 Ru 0.0000 0.0000 0.5000

=====

No. 3
A geometry-optimized Mn2Sn2Ru structure. Source: Alexandria, functional PBE-GGA.

Results
DFT formation energy: 0.377 eV per atom
Mass density: 8923 kg/m3
Fermi-level density of states: 0.88 states/eV per atom
E above lowest polymorph: 0.000 eV per atom

a = 6.4887 Å, b = 6.4887 Å, c = 3.9634 Å
α = 90.00°, β = 90.00°, γ = 90.00°
Space group P4/mbm (No. 127)
Unique sites:
1 Mn 0.1219 0.3781 0.0000
2 Sn 0.1811 0.6811 0.5000
3 Ru 0.0000 0.0000 0.0000

=====

No. 4
A geometry-optimized MnSnRu2 structure. Source: Alexandria, functional PBE-GGA.

Results
DFT formation energy: 0.943 eV per atom
Mass density: 7495 kg/m3
Fermi-level density of states: 1.05 states/eV per atom

a = 5.9319 Å, b = 5.9319 Å, c = 9.4639 Å
α = 90.00°, β = 90.00°, γ = 90.00°
Space group I-42d (No. 122)
Unique sites:
1 Mn 0.0000 0.0000 0.0000
2 Sn 0.0000 0.0000 0.5000
3 Ru 0.1949 0.2500 0.1250

=====

Question: Which of these has the highest mass density?
Answer: MnSn2Ru